# Ba2In2Au GGA-PBEsol relaxed
# Formation energy from the elements: -0.174 eV per atom
# Total magnetization: 0.00 μB per cell
data_Ba2In2Au
_space_group_name_H-M_alt 'I 4/m m m'
_space_group_IT_number 139
_space_group_name_Hall '-I 4 2'
_cell_length_a 6.7135
_cell_length_b 6.7135
_cell_length_c 8.0774
_cell_angle_alpha 90.00
_cell_angle_beta 90.00
_cell_angle_gamma 90.00
loop_
_atom_site_label
_atom_site_fract_x
_atom_site_fract_y
_atom_site_fract_z
Ba1 0.0000 0.5000 0.2500
In1 0.0000 0.0000 0.1649
Au1 0.0000 0.0000 0.5000

# BaIn2Au GGA-PBEsol relaxed
# Formation energy from the elements: -0.437 eV per atom
# Total magnetization: 0.00 μB per cell
data_BaIn2Au
_space_group_name_H-M_alt 'C m m m'
_space_group_IT_number 65
_space_group_name_Hall '-C 2 2'
_cell_length_a 5.9322
_cell_length_b 8.2702
_cell_length_c 4.7754
_cell_angle_alpha 90.00
_cell_angle_beta 90.00
_cell_angle_gamma 90.00
loop_
_atom_site_label
_atom_site_fract_x
_atom_site_fract_y
_atom_site_fract_z
Ba1 0.0000 0.0000 0.0000
In1 0.0000 0.3207 0.5000
Au1 0.0000 0.5000 0.0000